Density functional theory data (GGA+U) for a geometry-optimized Na2ErWO6 structure.

Properties
Magnetic moment, μB per formula unit: 1.1
Total energy, hartree per atom: -0.244

Cell lengths 5.691, 5.812, 9.919 Å; angles 90.00, 124.96, 90.00 degrees
Space group P2_1/c (No. 14)
Asymmetric unit:
1 Na 0.245 0.029 0.252 x4
2 Er 0.500 0.000 0.000 x2
3 W 0.000 0.000 0.500 x2
4 O 0.146 0.228 0.955 x4
5 O 0.234 0.694 0.961 x4
6 O 0.313 0.023 0.732 x4